Record 1
# Nd4SmOs2, optimized geometry, DFT PBE-GGA
# ΔE_f = 0.00 eV per atom
data_Nd4SmOs2
_symmetry_space_group_name_H-M 'P 1'
_symmetry_Int_Tables_number 1
_symmetry_space_group_name_Hall 'P 1'
_cell_length_a 8.0076
_cell_length_b 6.5835
_cell_length_c 8.0717
_cell_angle_alpha 90.00
_cell_angle_beta 112.43
_cell_angle_gamma 90.00
loop_
_atom_site_label
_atom_site_fract_x
_atom_site_fract_y
_atom_site_fract_z
Nd1 0.0211 0.2500 0.3764
Nd2 0.2410 0.7500 0.3222
Nd3 0.4170 0.0029 0.7605
Nd4 0.4170 0.4971 0.7605
Nd5 0.5830 0.5029 0.2395
Nd6 0.5830 0.9971 0.2395
Nd7 0.7590 0.2500 0.6778
Nd8 0.9789 0.7500 0.6236
Sm1 0.1581 0.2500 0.0310
Sm2 0.8419 0.7500 0.9690
Os1 0.2527 0.7500 0.9807
Os2 0.3757 0.2500 0.4082
Os3 0.6243 0.7500 0.5918
Os4 0.7473 0.2500 0.0193



Record 2
# Tb5CdHg3, optimized geometry, DFT PBE-GGA
# ΔE_f = -0.35 eV per atom
data_Tb5CdHg3
_symmetry_space_group_name_H-M 'P 1'
_symmetry_Int_Tables_number 1
_symmetry_space_group_name_Hall 'P 1'
_cell_length_a 9.1735
_cell_length_b 9.1735
_cell_length_c 6.6858
_cell_angle_alpha 90.00
_cell_angle_beta 90.00
_cell_angle_gamma 120.00
loop_
_atom_site_label
_atom_site_fract_x
_atom_site_fract_y
_atom_site_fract_z
Tb1 0.0000 0.2985 0.2500
Tb2 0.0000 0.7015 0.7500
Tb3 0.2985 0.0000 0.2500
Tb4 0.2985 0.2985 0.7500
Tb5 0.3333 0.6667 0.0000
Tb6 0.3333 0.6667 0.5000
Tb7 0.6667 0.3333 0.0000
Tb8 0.6667 0.3333 0.5000
Tb9 0.7015 0.0000 0.7500
Tb10 0.7015 0.7015 0.2500
Cd1 0.0000 0.0000 0.0000
Cd2 0.0000 0.0000 0.5000
Hg1 0.0000 0.3689 0.7500
Hg2 0.0000 0.6311 0.2500
Hg3 0.3689 0.0000 0.7500
Hg4 0.3689 0.3689 0.2500
Hg5 0.6311 0.0000 0.2500
Hg6 0.6311 0.6311 0.7500



Record 3
# La8Al2Ga, optimized geometry, DFT PBE-GGA
# ΔE_f = -0.20 eV per atom
data_La8Al2Ga
_symmetry_space_group_name_H-M 'P 1'
_symmetry_Int_Tables_number 1
_symmetry_space_group_name_Hall 'P 1'
_cell_length_a 9.0873
_cell_length_b 9.0873
_cell_length_c 9.0873
_cell_angle_alpha 147.09
_cell_angle_beta 121.71
_cell_angle_gamma 68.58
loop_
_atom_site_label
_atom_site_fract_x
_atom_site_fract_y
_atom_site_fract_z
La1 0.1214 0.3464 0.7751
La2 0.1402 0.1402 0.0000
La3 0.3317 0.0000 0.3317
La4 0.4287 0.6536 0.7751
La5 0.5713 0.3464 0.2249
La6 0.6683 0.0000 0.6683
La7 0.8598 0.8598 0.0000
La8 0.8786 0.6536 0.2249
Al1 0.3032 0.8032 0.5000
Al2 0.6968 0.1968 0.5000
Ga1 0.0000 0.5000 0.5000



Record 4
# Pr6CoAu, optimized geometry, DFT PBE-GGA
# ΔE_f = -0.10 eV per atom
data_Pr6CoAu
_symmetry_space_group_name_H-M 'P 1'
_symmetry_Int_Tables_number 1
_symmetry_space_group_name_Hall 'P 1'
_cell_length_a 6.6693
_cell_length_b 6.6693
_cell_length_c 6.9347
_cell_angle_alpha 99.07
_cell_angle_beta 99.07
_cell_angle_gamma 114.87
loop_
_atom_site_label
_atom_site_fract_x
_atom_site_fract_y
_atom_site_fract_z
Pr1 0.0306 0.3840 0.2415
Pr2 0.2593 0.2593 0.7857
Pr3 0.3840 0.0306 0.2415
Pr4 0.6160 0.9694 0.7585
Pr5 0.7407 0.7407 0.2143
Pr6 0.9694 0.6160 0.7585
Co1 0.0000 0.0000 0.0000
Au1 0.5000 0.5000 0.5000



Record 5
# Pm6Dy2HoTh, optimized geometry, DFT PBE-GGA
# ΔE_f = 0.15 eV per atom
data_Pm6Dy2HoTh
_symmetry_space_group_name_H-M 'P 1'
_symmetry_Int_Tables_number 1
_symmetry_space_group_name_Hall 'P 1'
_cell_length_a 8.8375
_cell_length_b 8.8375
_cell_length_c 9.6978
_cell_angle_alpha 94.00
_cell_angle_beta 94.00
_cell_angle_gamma 116.33
loop_
_atom_site_label
_atom_site_fract_x
_atom_site_fract_y
_atom_site_fract_z
Pm1 0.0109 0.5737 0.1872
Pm2 0.1117 0.7591 0.5576
Pm3 0.2409 0.8883 0.9424
Pm4 0.2968 0.5135 0.3816
Pm5 0.4263 0.9891 0.3128
Pm6 0.4865 0.7032 0.1184
Pm7 0.5135 0.2968 0.8816
Pm8 0.5737 0.0109 0.6872
Pm9 0.7032 0.4865 0.6184
Pm10 0.7591 0.1117 0.0576
Pm11 0.8883 0.2409 0.4424
Pm12 0.9891 0.4263 0.8128
Dy1 0.2007 0.2927 0.0504
Dy2 0.2927 0.2007 0.5504
Dy3 0.7073 0.7993 0.4496
Dy4 0.7993 0.7073 0.9496
Ho1 0.4082 0.5918 0.7500
Ho2 0.5918 0.4082 0.2500
Th1 0.0288 0.9712 0.2500
Th2 0.9712 0.0288 0.7500



Record 6
# TlCd2Pd2, optimized geometry, DFT PBE-GGA
# ΔE_f = -0.18 eV per atom
data_TlCd2Pd2
_symmetry_space_group_name_H-M 'P 1'
_symmetry_Int_Tables_number 1
_symmetry_space_group_name_Hall 'P 1'
_cell_length_a 8.0735
_cell_length_b 8.0735
_cell_length_c 3.0894
_cell_angle_alpha 90.00
_cell_angle_beta 90.00
_cell_angle_gamma 90.00
loop_
_atom_site_label
_atom_site_fract_x
_atom_site_fract_y
_atom_site_fract_z
Tl1 0.0000 0.0000 0.0000
Tl2 0.5000 0.5000 0.0000
Cd1 0.1400 0.3600 0.0000
Cd2 0.3600 0.8600 0.0000
Cd3 0.6400 0.1400 0.0000
Cd4 0.8600 0.6400 0.0000
Pd1 0.1539 0.6539 0.5000
Pd2 0.3461 0.1539 0.5000
Pd3 0.6539 0.8461 0.5000
Pd4 0.8461 0.3461 0.5000



Record 7
# HgB2C8N8, optimized geometry, DFT PBE-GGA
# Uncorrected formation energy = 6.8 eV per formula unit
data_HgB2C8N8
_symmetry_space_group_name_H-M 'P 1'
_symmetry_Int_Tables_number 1
_symmetry_space_group_name_Hall 'P 1'
_cell_length_a 7.9930
_cell_length_b 7.9930
_cell_length_c 6.2318
_cell_angle_alpha 90.00
_cell_angle_beta 90.00
_cell_angle_gamma 120.00
loop_
_atom_site_label
_atom_site_fract_x
_atom_site_fract_y
_atom_site_fract_z
Hg1 0.0000 0.0000 0.0000
B1 0.3333 0.6667 0.6476
B2 0.6667 0.3333 0.3524
C1 0.2251 0.4502 0.7324
C2 0.2251 0.7749 0.7324
C3 0.3333 0.6667 0.3932
C4 0.4502 0.2251 0.2676
C5 0.5498 0.7749 0.7324
C6 0.6667 0.3333 0.6068
C7 0.7749 0.2251 0.2676
C8 0.7749 0.5498 0.2676
N1 0.1450 0.2901 0.7882
N2 0.1450 0.8550 0.7882
N3 0.2901 0.1450 0.2118
N4 0.3333 0.6667 0.2061
N5 0.6667 0.3333 0.7939
N6 0.7099 0.8550 0.7882
N7 0.8550 0.1450 0.2118
N8 0.8550 0.7099 0.2118



Record 8
# SiS, optimized geometry, DFT PBE-GGA
# Uncorrected formation energy = -0.9 eV per formula unit
data_SiS
_symmetry_space_group_name_H-M 'P 1'
_symmetry_Int_Tables_number 1
_symmetry_space_group_name_Hall 'P 1'
_cell_length_a 7.8849
_cell_length_b 7.8849
_cell_length_c 3.9939
_cell_angle_alpha 90.00
_cell_angle_beta 90.00
_cell_angle_gamma 155.64
loop_
_atom_site_label
_atom_site_fract_x
_atom_site_fract_y
_atom_site_fract_z
Si1 0.0425 0.9575 0.5000
Si2 0.9575 0.0425 0.0000
S1 0.3676 0.6324 0.0153
S2 0.6324 0.3676 0.5153